# 1
The following is a DFT calculation (meta-GGA SCAN) of YCdSb2 at its PBEsol-relaxed geometry.

Cell: 4.3076 4.3101 6.1364 Å, 110.56 110.55 90.00°
Sites, in units of the cell vectors:
Cd (0.7498, 0.2498, 0.4996)
Sb (0.0001, 0.0001, 0.0003)
Sb (0.2502, 0.7502, 0.5005)
Y (0.4998, 0.4998, 0.9997)

Summary:
Electronic total energy ... -134.86 eV per formula unit

***

# 2
The following is a DFT calculation (meta-GGA SCAN) of ZnCdSb2 at its PBEsol-relaxed geometry.

Cell: 6.4489 7.2770 6.4489 Å, 63.70 90.00 116.30°
Sites, in units of the cell vectors:
Sb (0.5988, 0.7500, 0.3750)
Sb (0.1512, 0.7500, 0.8750)
Sb (0.8750, 0.2500, 0.5988)
Sb (0.3750, 0.2500, 0.1512)
Zn (0.2500, 0.5000, 0.2500)
Zn (0.5000, 0.0000, 0.5000)
Cd (0.7500, 0.5000, 0.7500)
Cd (0.0000, 0.0000, 0.0000)

Summary:
Electronic total energy ... -117.93 eV per formula unit

***

# 3
The following is a DFT calculation (meta-GGA SCAN) of ZnCd2Sb at its PBEsol-relaxed geometry.

Cell: 3.3525 4.7548 6.1628 Å, 112.22 105.15 91.59°
Sites, in units of the cell vectors:
Cd (0.0000, 0.0000, 0.5000)
Cd (0.5000, 0.5000, 0.5000)
Sb (0.0000, 0.0000, 0.0000)
Zn (0.5000, 0.5000, 0.0000)

Summary:
Electronic total energy ... -110.95 eV per formula unit

***

# 4
The following is a DFT calculation (meta-GGA SCAN) of ZnCd2Sb at its PBEsol-relaxed geometry.

Cell: 4.9796 4.9796 4.9796 Å, 60.00 60.00 60.00°
Sites, in units of the cell vectors:
Cd (0.0000, 0.0000, 0.0000)
Cd (0.7500, 0.7500, 0.7500)
Sb (0.5000, 0.5000, 0.5000)
Zn (0.2500, 0.2500, 0.2500)

Summary:
Electronic total energy ... -110.76 eV per formula unit

***

# 5
The following is a DFT calculation (meta-GGA SCAN) of ZrCd2Sb at its PBEsol-relaxed geometry.

Cell: 3.2021 5.5754 5.5754 Å, 117.80 90.00 90.00°
Sites, in units of the cell vectors:
Cd (0.0000, 0.5000, 0.0000)
Cd (0.0000, 0.0000, 0.5000)
Sb (0.5000, 0.0000, 0.0000)
Zr (0.5000, 0.5000, 0.5000)

Summary:
Electronic total energy ... -129.28 eV per formula unit

***

# 6
The following is a DFT calculation (meta-GGA SCAN) of ZrCdSb3 at its PBEsol-relaxed geometry.

Cell: 5.4572 5.4572 5.4572 Å, 90.00 90.00 90.00°
Sites, in units of the cell vectors:
Sb (0.0000, 0.5000, 0.0000)
Sb (0.0000, 0.0000, 0.5000)
Sb (0.5000, 0.0000, 0.0000)
Zr (0.0000, 0.0000, 0.0000)
Cd (0.5000, 0.5000, 0.5000)

Summary:
Electronic total energy ... -171.50 eV per formula unit

***

# 7
The following is a DFT calculation (meta-GGA SCAN) of ZrCd2Sb at its PBEsol-relaxed geometry.

Cell: 2.9763 5.0400 5.8366 Å, 90.00 90.05 90.00°
Sites, in units of the cell vectors:
Cd (0.7535, 0.0000, 0.0108)
Cd (0.7473, 0.5000, 0.2249)
Sb (0.7496, 0.0000, 0.5323)
Zr (0.2497, 0.5000, 0.7320)

Summary:
Electronic total energy ... -129.40 eV per formula unit

***

# 8
The following is a DFT calculation (meta-GGA SCAN) of ZrCdSb2 at its PBEsol-relaxed geometry.

Cell: 3.8215 4.8442 4.8442 Å, 90.00 90.00 90.00°
Sites, in units of the cell vectors:
Cd (0.5000, 0.0000, 0.0000)
Sb (0.0000, 0.0000, 0.5000)
Sb (0.0000, 0.5000, 0.0000)
Zr (0.5000, 0.5000, 0.5000)

Summary:
Electronic total energy ... -136.41 eV per formula unit

***

# 9
The following is a DFT calculation (meta-GGA SCAN) of ZrCdSb2 at its PBEsol-relaxed geometry.

Cell: 3.7964 3.7964 6.3048 Å, 90.00 90.00 90.00°
Sites, in units of the cell vectors:
Sb (0.0000, 0.0000, 0.7639)
Sb (0.0000, 0.0000, 0.2361)
Zr (0.5000, 0.5000, 0.0000)
Cd (0.5000, 0.5000, 0.5000)

Summary:
Electronic total energy ... -137.14 eV per formula unit

***

# 10
The following is a DFT calculation (meta-GGA SCAN) of ZrCd2Sb at its PBEsol-relaxed geometry.

Cell: 3.0969 3.0969 9.4425 Å, 90.00 90.00 90.00°
Sites, in units of the cell vectors:
Cd (0.0000, 0.0000, 0.9944)
Cd (0.5000, 0.5000, 0.2183)
Sb (0.0000, 0.0000, 0.5273)
Zr (0.5000, 0.5000, 0.7600)

Summary:
Electronic total energy ... -129.28 eV per formula unit

***

# 11
The following is a DFT calculation (meta-GGA SCAN) of Sc4Cd5 at its PBEsol-relaxed geometry.

Cell: 5.9933 8.5614 8.5614 Å, 120.00 90.00 90.00°
Sites, in units of the cell vectors:
Cd (0.7500, 0.0000, 0.6845)
Cd (0.7500, 0.6845, 0.0000)
Cd (0.7500, 0.3155, 0.3155)
Cd (0.2500, 0.0000, 0.3155)
Cd (0.2500, 0.3155, 0.0000)
Cd (0.2500, 0.6845, 0.6845)
Cd (0.0000, 0.3333, 0.6667)
Cd (0.5000, 0.6667, 0.3333)
Cd (0.0000, 0.6667, 0.3333)
Cd (0.5000, 0.3333, 0.6667)
Sc (0.0000, 0.0000, 0.0000)
Sc (0.5000, 0.0000, 0.0000)
Sc (0.7500, 0.0000, 0.3499)
Sc (0.7500, 0.3499, 0.0000)
Sc (0.7500, 0.6501, 0.6501)
Sc (0.2500, 0.0000, 0.6501)
Sc (0.2500, 0.6501, 0.0000)
Sc (0.2500, 0.3499, 0.3499)

Summary:
Formation energy ... -2.75 eV per formula unit

***

# 12
The following is a DFT calculation (meta-GGA SCAN) of ScCd7 at its PBEsol-relaxed geometry.

Cell: 6.1840 6.1840 6.1840 Å, 60.00 60.00 60.00°
Sites, in units of the cell vectors:
Cd (0.5000, 0.0000, 0.5000)
Cd (0.5000, 0.0000, 0.0000)
Cd (0.0000, 0.0000, 0.5000)
Cd (0.5000, 0.5000, 0.0000)
Cd (0.0000, 0.5000, 0.5000)
Cd (0.0000, 0.5000, 0.0000)
Cd (0.5000, 0.5000, 0.5000)
Sc (0.0000, 0.0000, 0.0000)

Summary:
Formation energy ... -0.78 eV per formula unit